Density functional theory data (PBE) for Sc3VTc after structural relaxation.

Computed properties:
Fermi-level density of states = 6.30 states/eV per cell
total magnetic moment = 3.43 μB per cell
energy relative to the elements = 0.51 eV/atom
relative energy among the computed polymorphs = 0 meV/atom

Cell lengths 4.953, 4.953, 4.953 Å; angles 90.00, 90.00, 90.00 degrees
Each line ends with the local moment (μB).
Fractional coordinates of all 5 atoms:
Sc 0.000 0.000 0.500  -0.01
Sc 0.500 0.000 0.000  -0.01
Sc 0.000 0.500 0.000  -0.01
V 0.500 0.500 0.500  2.81
Tc 0.000 0.000 0.000  -0.06